# 1
Material: La3Nd6Y2Tm
Method: DFT, PBE
State: optimized geometry

DFT total energy, eV/cell: -60.57
Crystal system: monoclinic
ΔH_f (0 K), eV/atom: 0.018

```
La3Nd6Y2Tm
1.0
3.176 -5.507 0.000
3.176 5.507 0.000
-2.122 0.000 11.926
La Nd Y Tm
3 6 2 1
Direct
0.000 0.000 0.000 La
0.334 0.666 0.000 La
0.666 0.334 0.000 La
0.087 0.419 0.256 Nd
0.249 0.249 0.744 Nd
0.419 0.087 0.256 Nd
0.581 0.913 0.744 Nd
0.751 0.751 0.256 Nd
0.913 0.581 0.744 Nd
0.167 0.833 0.500 Y
0.833 0.167 0.500 Y
0.500 0.500 0.500 Tm
```


# 2
Material: La2Nd2YTm
Method: DFT, PBE
State: optimized geometry

DFT total energy, eV/cell: -60.04
Crystal system: orthorhombic
ΔH_f (0 K), eV/atom: 0.051

```
La2Nd2YTm
1.0
5.751 0.000 0.000
0.000 10.001 0.000
0.000 0.000 7.145
La Nd Y Tm
4 4 2 2
Direct
0.000 0.001 0.000 La
0.000 0.999 0.500 La
0.500 0.175 0.250 La
0.500 0.825 0.750 La
0.000 0.331 0.250 Nd
0.000 0.669 0.750 Nd
0.500 0.165 0.750 Nd
0.500 0.835 0.250 Nd
0.500 0.500 0.000 Y
0.500 0.500 0.500 Y
0.000 0.343 0.750 Tm
0.000 0.657 0.250 Tm
```


# 3
Material: La2NdY6Tm
Method: DFT, PBE
State: optimized geometry

DFT total energy, eV/cell: -113.51
Crystal system: monoclinic
ΔH_f (0 K), eV/atom: 0.112

```
La2NdY6Tm
1.0
4.565 -7.507 0.000
4.565 7.507 0.000
-1.851 0.000 9.781
La Nd Y Tm
4 2 12 2
Direct
0.194 0.287 0.045 La
0.287 0.194 0.545 La
0.713 0.806 0.455 La
0.806 0.713 0.955 La
0.013 0.987 0.250 Nd
0.987 0.013 0.750 Nd
0.018 0.576 0.188 Y
0.118 0.735 0.557 Y
0.265 0.882 0.943 Y
0.302 0.512 0.384 Y
0.424 0.982 0.312 Y
0.488 0.698 0.116 Y
0.512 0.302 0.884 Y
0.576 0.018 0.688 Y
0.698 0.488 0.616 Y
0.735 0.118 0.057 Y
0.882 0.265 0.443 Y
0.982 0.424 0.812 Y
0.404 0.596 0.750 Tm
0.596 0.404 0.250 Tm
```